Entry 1:
DFT (PBE-GGA) results for MnAgTeN2 after structural relaxation.

- volume (Å³/atom) = 15.72
- Fermi-level density of states (states/eV per cell) = 2.82
- distance to the lowest polymorph of the same formula (meV per atom) = 0.0
- energy relative to the elements, uncorrected (eV/f.u.) = 3.5
- symmetry = No. 123

```
5
Lattice="3.7355 0.0000 0.0000 0.0000 3.7355 0.0000 0.0000 0.0000 5.6345" Properties=species:S:1:pos:R:3 pbc="T T T"
Te 0.0000 0.0000 2.8172
Mn 0.0000 0.0000 0.0000
Ag 1.8677 1.8677 2.8172
N 1.8677 0.0000 0.0000
N 0.0000 1.8677 0.0000
```

Entry 2:
DFT (PBE-GGA) results for Na2MnAg after structural relaxation.

- volume (Å³/atom) = 22.92
- Fermi-level density of states (states/eV per cell) = 3.72
- distance to the lowest polymorph of the same formula (meV per atom) = 0.0
- calculated formation energy (eV per formula unit) = 2.1
- symmetry = No. 225

```
4
Lattice="0.0000 3.5790 3.5790 3.5790 0.0000 3.5790 3.5790 3.5790 0.0000" Properties=species:S:1:pos:R:3 pbc="T T T"
Mn 0.0000 0.0000 0.0000
Na 1.7895 1.7895 1.7895
Na 5.3686 5.3686 5.3686
Ag 3.5790 3.5790 3.5790
```

Entry 3:
DFT (PBE-GGA) results for NaMnAg3 after structural relaxation.

- volume (Å³/atom) = 26.06
- Fermi-level density of states (states/eV per cell) = 2.28
- distance to the lowest polymorph of the same formula (meV per atom) = 0.0
- calculated formation energy (eV per formula unit) = 2.9
- symmetry = No. 221

```
5
Lattice="-1.3091 -4.3055 2.3343 4.6134 -0.2729 2.0838 -1.6441 2.6624 3.9886" Properties=species:S:1:pos:R:3 pbc="T T T"
Ag -0.6546 -2.1528 1.1672
Mn 0.0000 0.0000 0.0000
Ag -0.8220 1.3312 1.9943
Ag 2.3067 -0.1365 1.0419
Na 0.8301 -0.9580 4.2034
```

Entry 4:
DFT (PBE-GGA) results for NaMn2Ag after structural relaxation.

- volume (Å³/atom) = 18.18
- Fermi-level density of states (states/eV per cell) = 2.19
- distance to the lowest polymorph of the same formula (meV per atom) = 0.0
- calculated formation energy (eV per formula unit) = 2.5
- symmetry = No. 225

```
4
Lattice="0.0000 3.3132 3.3132 3.3132 0.0000 3.3132 3.3132 3.3132 0.0000" Properties=species:S:1:pos:R:3 pbc="T T T"
Na 0.0000 0.0000 0.0000
Mn 1.6566 1.6566 1.6566
Mn 4.9698 4.9698 4.9698
Ag 3.3132 3.3132 3.3132
```

Entry 5:
DFT (PBE-GGA) results for NaMnAg3 after structural relaxation.

- volume (Å³/atom) = 23.35
- Fermi-level density of states (states/eV per cell) = 2.52
- distance to the lowest polymorph of the same formula (meV per atom) = 436.2
- calculated formation energy (eV per formula unit) = 5.1
- symmetry = No. 221

```
5
Lattice="-4.4994 -0.3188 1.8812 0.4761 -4.8537 0.3161 1.8477 0.4742 4.4995" Properties=species:S:1:pos:R:3 pbc="T T T"
Na 0.0000 0.0000 0.0000
Mn -1.0878 -2.3491 3.3484
Ag 0.2380 -2.4268 0.1580
Ag -2.2497 -0.1594 0.9406
Ag 0.9238 0.2371 2.2498
```

Entry 6:
DFT (PBE-GGA) results for NaMn2Ag after structural relaxation.

- volume (Å³/atom) = 19.55
- Fermi-level density of states (states/eV per cell) = 7.29
- distance to the lowest polymorph of the same formula (meV per atom) = 144.1
- calculated formation energy (eV per formula unit) = 3.0
- symmetry = No. 122

```
8
Lattice="-2.8177 2.7152 0.4222 -1.3495 -1.8942 3.1750 4.0558 5.8694 7.6650" Properties=species:S:1:pos:R:3 pbc="T T T"
Mn -0.1413 0.5839 3.9473
Mn -0.6238 5.0933 8.9418
Mn 1.4985 4.7372 7.0521
Mn -0.9562 2.9666 2.5831
Ag -0.4227 4.4976 4.9429
Na -2.0836 0.4105 1.7986
Ag 0.0000 0.0000 0.0000
Na 0.3113 2.1929 6.3193
```

Entry 7:
DFT (PBE-GGA) results for Na2MnAg after structural relaxation.

- volume (Å³/atom) = 24.53
- Fermi-level density of states (states/eV per cell) = 5.33
- distance to the lowest polymorph of the same formula (meV per atom) = 37.5
- calculated formation energy (eV per formula unit) = 2.2
- symmetry = No. 122

```
8
Lattice="-7.1170 -0.1730 4.3420 -3.1019 -5.6330 -5.3087 -4.0794 -4.9832 1.1221" Properties=species:S:1:pos:R:3 pbc="T T T"
Na -12.0758 -8.9532 -0.1321
Na -6.8170 -5.7790 0.6068
Mn -5.1094 -2.9030 -0.4834
Na -6.0271 -2.0622 2.4352
Ag -8.1530 -4.0295 2.4904
Ag 0.0000 0.0000 0.0000
Na -3.6768 -4.7839 -2.5992
Mn -6.1454 -6.7596 -2.3350
```

Entry 8:
DFT (PBE-GGA) results for NaMnAgP after structural relaxation.

- volume (Å³/atom) = 19.25
- Fermi-level density of states (states/eV per cell) = 4.01
- calculated formation energy (eV per formula unit) = -1.0
- symmetry = No. 129

```
8
Lattice="3.7942 0.0000 0.0000 0.0000 3.7942 0.0000 0.0000 0.0000 10.6962" Properties=species:S:1:pos:R:3 pbc="T T T"
P 0.9486 0.9486 1.2711
Ag 2.8457 0.9486 5.3481
Mn 0.9486 2.8457 0.0000
Na 2.8457 2.8457 2.7305
Na 0.9486 0.9486 7.9657
Mn 2.8457 0.9486 0.0000
P 2.8457 2.8457 9.4251
Ag 0.9486 2.8457 5.3481
```

Entry 9:
DFT (PBE-GGA) results for NaMnAg2Pt after structural relaxation.

- volume (Å³/atom) = 21.49
- Fermi-level density of states (states/eV per cell) = 2.26
- calculated formation energy (eV per formula unit) = 5.3
- symmetry = No. 123

```
5
Lattice="-4.1542 -1.1841 1.8524 1.5346 -4.5864 0.5097 1.6229 1.0200 4.2915" Properties=species:S:1:pos:R:3 pbc="T T T"
Pt 0.7673 -2.2932 0.2549
Ag -2.0771 -0.5921 0.9262
Ag 0.8114 0.5100 2.1457
Mn -0.4984 -2.3753 3.3268
Na 0.0000 0.0000 0.0000
```

Entry 10:
DFT (PBE-GGA) results for Na2MnReAg after structural relaxation.

- volume (Å³/atom) = 27.25
- Fermi-level density of states (states/eV per cell) = 4.31
- calculated formation energy (eV per formula unit) = 7.9
- symmetry = No. 123

```
5
Lattice="5.1118 0.0000 0.0000 0.0000 5.2135 0.0000 0.0000 0.0000 5.1118" Properties=species:S:1:pos:R:3 pbc="T T T"
Na 0.0000 0.0000 2.5559
Na 2.5559 0.0000 0.0000
Re 0.0000 2.6068 0.0000
Ag 0.0000 0.0000 0.0000
Mn 2.5559 2.6068 2.5559
```

Entry 11:
DFT (PBE-GGA) results for Na2MnAgS4 after structural relaxation.

- volume (Å³/atom) = 20.56
- energy relative to the elements, uncorrected (eV/f.u.) = -4.5
- symmetry = No. 121

```
8
Lattice="6.3144 0.0000 0.0000 3.1572 5.1034 0.0000 3.1572 0.0000 5.1034" Properties=species:S:1:pos:R:3 pbc="T T T"
S 4.4006 0.0000 1.7460
S 7.5578 0.0000 3.3574
S 1.9138 1.7460 0.0000
S 5.0710 3.3574 0.0000
Ag 0.0000 0.0000 0.0000
Na 3.1572 2.5517 2.5517
Mn 3.1572 0.0000 0.0000
Na 6.3144 2.5517 2.5517
```

Entry 12:
DFT (PBE-GGA) results for NaMn2AgSe4 after structural relaxation.

- volume (Å³/atom) = 26.74
- Fermi-level density of states (states/eV per cell) = 7.03
- energy relative to the elements, uncorrected (eV/f.u.) = -3.4
- symmetry = No. 31

```
16
Lattice="6.9867 0.0000 0.0000 0.0000 7.4754 0.0000 0.0000 0.0000 8.1909" Properties=species:S:1:pos:R:3 pbc="T T T"
Mn 6.9539 4.9464 6.1510
Ag 3.5346 6.1329 4.0955
Se 2.3743 4.6965 2.1904
Se 5.8677 2.7789 6.2858
Se 5.8677 2.7789 1.9051
Se 2.6809 1.4726 0.0000
Mn 3.4606 2.5291 2.0555
Na 3.5684 6.1811 0.0000
Se 6.1743 6.0028 4.0955
Mn 3.4606 2.5291 6.1355
Ag 0.0412 1.3425 0.0000
Mn 6.9539 4.9464 2.0400
Na 0.0750 1.2943 4.0955
Se 2.9995 1.2475 4.0955
Se 6.4929 6.2279 0.0000
Se 2.3743 4.6965 6.0006
```